Entry from the Alexandria database: a relaxed structure of Sr2Li3Al2 (PBE).

Output
Its space group is C2/m, No. 12. The total energy comes out at -2.39 eV per atom. The value obtained for the formation enthalpy at 0 K is -0.023 eV/atom. The value obtained for the density of states at the Fermi level is 3.20 states/eV per cell.

Cell lengths 7.468, 7.468, 6.118 Å; angles 111.78, 111.78, 35.39 degrees
Fractional positions:
Sr 0.130 0.130 0.018
Sr 0.870 0.870 0.982
Li 0.000 0.000 0.500
Li 0.214 0.214 0.569
Li 0.786 0.786 0.431
Al 0.411 0.411 0.539
Al 0.589 0.589 0.461

Entry from the Alexandria database: a relaxed structure of BaCeGe2S8 (PBE).

Output
Its space group is P-3, No. 147. The value obtained for the energy relative to the elements, uncorrected is -8.95 eV/f.u. The total energy comes out at -4.92 eV per atom. The value obtained for the density of states at the Fermi level is 12.81 states/eV per cell.

Cell lengths 6.127, 6.127, 9.461 Å; angles 90.00, 90.00, 120.00 degrees
Fractional positions:
Ba 0.000 0.000 0.000
Ce 0.000 0.000 0.500
Ge 0.333 0.667 0.760
Ge 0.667 0.333 0.240
S 0.023 0.677 0.307
S 0.323 0.345 0.307
S 0.333 0.667 0.994
S 0.345 0.023 0.693
S 0.655 0.977 0.307
S 0.667 0.333 0.006
S 0.677 0.655 0.693
S 0.977 0.323 0.693

Entry from the Alexandria database: a relaxed structure of TbHgB2O6 (PBE).

Output
Its space group is C2/c, No. 15. The value obtained for the energy relative to the elements, uncorrected is -21.05 eV/f.u. The total energy comes out at -6.91 eV per atom. The value obtained for the density of states at the Fermi level is 6.71 states/eV per cell.

Cell lengths 6.500, 6.500, 6.707 Å; angles 100.96, 100.96, 107.59 degrees
Fractional positions:
Tb 0.074 0.926 0.750
Tb 0.926 0.074 0.250
Hg 0.401 0.599 0.250
Hg 0.599 0.401 0.750
B 0.086 0.403 0.762
B 0.403 0.086 0.262
B 0.597 0.914 0.738
B 0.914 0.597 0.238
O 0.004 0.208 0.603
O 0.010 0.435 0.228
O 0.208 0.004 0.103
O 0.274 0.417 0.910
O 0.417 0.274 0.410
O 0.435 0.010 0.728
O 0.565 0.990 0.272
O 0.583 0.726 0.590
O 0.726 0.583 0.090
O 0.792 0.996 0.897
O 0.990 0.565 0.772
O 0.996 0.792 0.397

Entry from the Alexandria database: a relaxed structure of La2Sm2TmMg5 (PBE).

Output
Its space group is P4/mbm, No. 127. The total energy comes out at -3.17 eV per atom. The value obtained for the formation enthalpy at 0 K is 0.007 eV/atom. The value obtained for the density of states at the Fermi level is 13.47 states/eV per cell.

Cell lengths 10.670, 10.670, 5.129 Å; angles 90.00, 90.00, 90.00 degrees
Fractional positions:
La 0.174 0.326 0.000
La 0.326 0.826 0.000
La 0.674 0.174 0.000
La 0.826 0.674 0.000
Sm 0.123 0.623 0.000
Sm 0.377 0.123 0.000
Sm 0.623 0.877 0.000
Sm 0.877 0.377 0.000
Tm 0.000 0.000 0.000
Tm 0.500 0.500 0.000
Mg 0.000 0.500 0.500
Mg 0.070 0.805 0.500
Mg 0.195 0.070 0.500
Mg 0.305 0.570 0.500
Mg 0.430 0.305 0.500
Mg 0.500 0.000 0.500
Mg 0.570 0.695 0.500
Mg 0.695 0.430 0.500
Mg 0.805 0.930 0.500
Mg 0.930 0.195 0.500

Entry from the Alexandria database: a relaxed structure of Ho8SnGe3Te4 (PBE).

Output
Its space group is R-3m, No. 166. The value obtained for the energy relative to the elements, uncorrected is -18.02 eV/f.u. The total energy comes out at -5.32 eV per atom. The value obtained for the density of states at the Fermi level is 2.50 states/eV per cell.

Cell lengths 8.631, 8.631, 8.631 Å; angles 59.25, 59.25, 59.25 degrees
Fractional positions:
Ho 0.233 0.746 0.746
Ho 0.239 0.239 0.239
Ho 0.254 0.254 0.767
Ho 0.254 0.767 0.254
Ho 0.746 0.233 0.746
Ho 0.746 0.746 0.233
Ho 0.761 0.761 0.761
Ho 0.767 0.254 0.254
Sn 0.500 0.500 0.500
Ge 0.000 0.000 0.500
Ge 0.000 0.500 0.000
Ge 0.500 0.000 0.000
Te 0.000 0.000 0.000
Te 0.000 0.500 0.500
Te 0.500 0.000 0.500
Te 0.500 0.500 0.000

Entry from the Alexandria database: a relaxed structure of DyMg3Hg4 (PBE).

Output
Its space group is R-3m, No. 166. The total energy comes out at -1.65 eV per atom. The value obtained for the formation enthalpy at 0 K is -0.322 eV/atom. The value obtained for the density of states at the Fermi level is 4.18 states/eV per cell.

Cell lengths 8.907, 8.907, 8.907 Å; angles 32.21, 32.21, 32.21 degrees
Fractional positions:
Dy 0.000 0.000 0.000
Mg 0.249 0.249 0.249
Mg 0.500 0.500 0.500
Mg 0.751 0.751 0.751
Hg 0.127 0.127 0.127
Hg 0.381 0.381 0.381
Hg 0.619 0.619 0.619
Hg 0.873 0.873 0.873

Entry from the Alexandria database: a relaxed structure of MnAsRh (PBE).

Output
Its space group is P-62m, No. 189. The total energy comes out at -7.41 eV per atom. The value obtained for the formation enthalpy at 0 K is -0.352 eV/atom. The value obtained for the density of states at the Fermi level is 5.02 states/eV per cell.

Cell lengths 6.518, 6.518, 3.629 Å; angles 90.00, 90.00, 120.00 degrees
Fractional positions:
Mn 0.000 0.402 0.000
Mn 0.402 0.000 0.000
Mn 0.598 0.598 0.000
As 0.000 0.000 0.000
As 0.333 0.667 0.500
As 0.667 0.333 0.500
Rh 0.000 0.735 0.500
Rh 0.265 0.265 0.500
Rh 0.735 0.000 0.500

Entry from the Alexandria database: a relaxed structure of Si2BiPd2 (PBE).

Output
Its space group is P4/mbm, No. 127. The value obtained for the energy relative to the elements, uncorrected is -0.10 eV/f.u. The total energy comes out at -5.04 eV per atom. The calculation puts the polymorph energy (0 for the lowest one) at 1.36 eV/f.u. The value obtained for the density of states at the Fermi level is 7.20 states/eV per cell.

Cell lengths 7.769, 7.769, 3.027 Å; angles 90.00, 90.00, 90.00 degrees
Fractional positions:
Si 0.135 0.365 0.000
Si 0.365 0.865 0.000
Si 0.635 0.135 0.000
Si 0.865 0.635 0.000
Bi 0.000 0.000 0.000
Bi 0.500 0.500 0.000
Pd 0.132 0.632 0.500
Pd 0.368 0.132 0.500
Pd 0.632 0.868 0.500
Pd 0.868 0.368 0.500